First-principles (GGA-PBE) data for an optimized crystal structure of Y3PbCO, as listed in Alexandria via LeMat-Bulk.

Lattice parameters (Å, degrees): 8.7757 3.7413 9.0354 90.00 110.64 90.00
Sites, in units of the cell vectors:
Y 0.0273 0.2500 0.3553
Y 0.3178 0.2500 0.9504
Y 0.3609 0.7500 0.6368
Y 0.6391 0.2500 0.3632
Y 0.6822 0.7500 0.0496
Y 0.9727 0.7500 0.6447
Pb 0.2753 0.7500 0.2441
Pb 0.7247 0.2500 0.7559
C 0.1673 0.2500 0.6388
C 0.8327 0.7500 0.3612
O 0.4147 0.7500 0.8926
O 0.5853 0.2500 0.1074

Output
formation energy without anion corrections	-1271	meV per atom
symmetry	P2_1/m, No. 11
N(E_F)	1.85	states/eV/f.u.
total magnetization	0.000	μB per atom

---

First-principles (GGA-PBE) data for an optimized crystal structure of Zn3PbC4O12, as listed in Alexandria via LeMat-Bulk.

Lattice parameters (Å, degrees): 6.2471 6.2471 6.2471 102.61 102.61 102.61
Sites, in units of the cell vectors:
Zn 0.0000 0.5406 0.4594
Zn 0.4594 0.0000 0.5406
Zn 0.5406 0.4594 0.0000
Pb 0.0000 0.0000 0.0000
C 0.0433 0.5000 0.9567
C 0.5000 0.5000 0.5000
C 0.5000 0.9567 0.0433
C 0.9567 0.0433 0.5000
O 0.0178 0.6080 0.8028
O 0.0909 0.9091 0.5000
O 0.1972 0.3920 0.9822
O 0.3663 0.6337 0.5000
O 0.3920 0.9822 0.1972
O 0.5000 0.0909 0.9091
O 0.5000 0.3663 0.6337
O 0.6080 0.8028 0.0178
O 0.6337 0.5000 0.3663
O 0.8028 0.0178 0.6080
O 0.9091 0.5000 0.0909
O 0.9822 0.1972 0.3920

Output
formation energy without anion corrections	-1375	meV per atom
symmetry	R32, No. 155
N(E_F)	0.00	states/eV/f.u.
total magnetization	0.000	μB per atom

---

First-principles (GGA-PBE) data for an optimized crystal structure of Zn2PbC2O7, as listed in Alexandria via LeMat-Bulk.

Lattice parameters (Å, degrees): 9.4626 9.4626 9.4626 30.68 30.68 30.68
Sites, in units of the cell vectors:
Zn 0.0657 0.0657 0.0657
Zn 0.9343 0.9343 0.9343
Pb 0.5000 0.5000 0.5000
C 0.2274 0.2274 0.2274
C 0.7726 0.7726 0.7726
O 0.0000 0.0000 0.0000
O 0.0097 0.4959 0.8164
O 0.1836 0.5041 0.9903
O 0.4959 0.8163 0.0097
O 0.5041 0.9903 0.1836
O 0.8164 0.0097 0.4959
O 0.9903 0.1836 0.5041

Output
formation energy without anion corrections	-1270	meV per atom
symmetry	R32, No. 155
N(E_F)	0.00	states/eV/f.u.
total magnetization	0.008	μB per atom

---

First-principles (GGA-PBE) data for an optimized crystal structure of PdCO2, as listed in Alexandria via LeMat-Bulk.

Lattice parameters (Å, degrees): 4.7903 4.7903 4.7903 120.88 120.88 88.48
Sites, in units of the cell vectors:
Pd 0.0000 0.0000 0.0000
Pd 0.7500 0.2500 0.5000
C 0.2500 0.7500 0.5000
C 0.5000 0.5000 0.0000
O 0.2798 0.6250 0.1548
O 0.3750 0.5298 0.6548
O 0.4702 0.1250 0.8452
O 0.8750 0.7202 0.3452

Output
formation energy without anion corrections	615	meV per atom
symmetry	I-42d, No. 122
N(E_F)	3.48	states/eV/f.u.
total magnetization	0.005	μB per atom

---

First-principles (GGA-PBE) data for an optimized crystal structure of Pd2C2O7, as listed in Alexandria via LeMat-Bulk.

Lattice parameters (Å, degrees): 5.2761 5.2761 4.1313 99.73 99.73 100.61
Sites, in units of the cell vectors:
Pd 0.1942 0.8058 0.0000
Pd 0.8058 0.1942 0.0000
C 0.3094 0.3094 0.5814
C 0.6906 0.6906 0.4186
O 0.1446 0.1446 0.2938
O 0.1475 0.4317 0.7564
O 0.4317 0.1475 0.7564
O 0.5000 0.5000 0.5000
O 0.5683 0.8525 0.2436
O 0.8525 0.5683 0.2436
O 0.8554 0.8554 0.7062

Output
formation energy without anion corrections	-472	meV per atom
symmetry	C2/m, No. 12
N(E_F)	5.30	states/eV/f.u.
total magnetization	0.000	μB per atom

---

First-principles (GGA-PBE) data for an optimized crystal structure of Pd2CO, as listed in Alexandria via LeMat-Bulk.

Lattice parameters (Å, degrees): 3.9291 3.9291 3.9291 60.00 60.00 60.00
Sites, in units of the cell vectors:
Pd 0.2500 0.2500 0.2500
Pd 0.7500 0.7500 0.7500
C 0.0000 0.0000 0.0000
O 0.5000 0.5000 0.5000

Output
formation energy without anion corrections	956	meV per atom
symmetry	Fm-3m, No. 225
N(E_F)	4.40	states/eV/f.u.
total magnetization	0.000	μB per atom
relative energy among the computed polymorphs	47.83	kJ/mol of atoms

---

First-principles (GGA-PBE) data for an optimized crystal structure of PdCO2, as listed in Alexandria via LeMat-Bulk.

Lattice parameters (Å, degrees): 6.1781 6.1781 6.1781 24.84 24.84 24.84
Sites, in units of the cell vectors:
Pd 0.0000 0.0000 0.0000
C 0.5000 0.5000 0.5000
O 0.1147 0.1147 0.1147
O 0.8853 0.8853 0.8853

Output
formation energy without anion corrections	849	meV per atom
symmetry	R-3m, No. 166
N(E_F)	3.46	states/eV/f.u.
total magnetization	0.001	μB per atom

---

First-principles (GGA-PBE) data for an optimized crystal structure of PdC3O, as listed in Alexandria via LeMat-Bulk.

Lattice parameters (Å, degrees): 3.6029 3.6029 3.6029 90.00 90.00 90.00
Sites, in units of the cell vectors:
Pd 0.0000 0.0000 0.0000
C 0.0000 0.5000 0.5000
C 0.5000 0.0000 0.5000
C 0.5000 0.5000 0.0000
O 0.5000 0.5000 0.5000

Output
formation energy without anion corrections	2928	meV per atom
symmetry	Pm-3m, No. 221
N(E_F)	3.23	states/eV/f.u.
total magnetization	0.000	μB per atom
relative energy among the computed polymorphs	0.00	kJ/mol of atoms

---

First-principles (GGA-PBE) data for an optimized crystal structure of Pd2CO, as listed in Alexandria via LeMat-Bulk.

Lattice parameters (Å, degrees): 5.9813 5.9813 5.9813 133.90 133.90 67.25
Sites, in units of the cell vectors:
Pd 0.0851 0.6250 0.9601
Pd 0.3750 0.3351 0.4601
Pd 0.6649 0.1250 0.0399
Pd 0.8750 0.9149 0.5399
C 0.0000 0.0000 0.0000
C 0.7500 0.2500 0.5000
O 0.2500 0.7500 0.5000
O 0.5000 0.5000 0.0000

Output
formation energy without anion corrections	460	meV per atom
symmetry	I-42d, No. 122
N(E_F)	1.56	states/eV/f.u.
total magnetization	0.000	μB per atom
relative energy among the computed polymorphs	0.00	kJ/mol of atoms

---

First-principles (GGA-PBE) data for an optimized crystal structure of PdC3O, as listed in Alexandria via LeMat-Bulk.

Lattice parameters (Å, degrees): 3.9890 3.9890 3.9890 90.00 90.00 90.00
Sites, in units of the cell vectors:
Pd 0.0000 0.0000 0.0000
C 0.0000 0.0000 0.5000
C 0.0000 0.5000 0.0000
C 0.5000 0.0000 0.0000
O 0.5000 0.5000 0.5000

Output
formation energy without anion corrections	3104	meV per atom
symmetry	Pm-3m, No. 221
N(E_F)	3.30	states/eV/f.u.
total magnetization	0.356	μB per atom
relative energy among the computed polymorphs	17.00	kJ/mol of atoms

---

First-principles (GGA-PBE) data for an optimized crystal structure of PdCO2, as listed in Alexandria via LeMat-Bulk.

Lattice parameters (Å, degrees): 8.2683 8.2683 8.2683 19.47 19.47 19.47
Sites, in units of the cell vectors:
Pd 0.0000 0.0000 0.0000
C 0.5000 0.5000 0.5000
O 0.4517 0.4517 0.4517
O 0.5483 0.5483 0.5483

Output
formation energy without anion corrections	-422	meV per atom
symmetry	R-3m, No. 166
N(E_F)	3.72	states/eV/f.u.
total magnetization	0.000	μB per atom

---

First-principles (GGA-PBE) data for an optimized crystal structure of PrPdC2O6, as listed in Alexandria via LeMat-Bulk.

Lattice parameters (Å, degrees): 6.4428 6.4428 6.4428 47.65 47.65 47.65
Sites, in units of the cell vectors:
Pr 0.0000 0.0000 0.0000
Pd 0.5000 0.5000 0.5000
C 0.2514 0.2514 0.2514
C 0.7486 0.7486 0.7486
O 0.0035 0.2499 0.5029
O 0.2499 0.5029 0.0035
O 0.4971 0.9965 0.7501
O 0.5029 0.0035 0.2499
O 0.7501 0.4971 0.9965
O 0.9965 0.7501 0.4971

Output
formation energy without anion corrections	-1582	meV per atom
symmetry	R-3, No. 148
N(E_F)	6.43	states/eV/f.u.
total magnetization	0.100	μB per atom